A plane-wave DFT calculation with PBE with a Hubbard U was carried out for MnCrHO2 after structural relaxation.

The calculation puts the distance to the lowest polymorph of the same formula at 156 meV/atom.

The structure belongs to space group P1 (No. 1); the cell edges are 3.506, 3.952 and 3.993 Å and the angles 89.97°, 79.39° and 89.92°. The inequivalent atoms are Mn at (0.000, 0.000, 0.000), Cr at (0.366, 0.499, 0.408), H at (0.851, 0.498, 0.459), O at (0.245, 0.500, 0.910) and O at (0.424, 0.999, 0.341).